Computed, not measured: a geometry-optimized Mo2AsIr structure at the GGA-PBE level of DFT.

Lattice parameters (Å, degrees): 4.4356 4.4356 4.4356 60.00 60.00 60.00
Sites, in units of the cell vectors:
As 0.0000 0.0000 0.0000
Mo 0.7500 0.7500 0.7500
Mo 0.2500 0.2500 0.2500
Ir 0.5000 0.5000 0.5000

Formation energy, kJ per mole of atoms: 10
D(E_F), states/eV/f.u.: 4.585
Space group: Fm-3m (225)